# FeNiPO2

A relaxed FeNiPO2 crystal (GGA+U, Alexandria via LeMat-Bulk).

As for the magnetic moment: 5.42 Bohr magnetons per cell. For the energy, the calculation gives -4.70 eV/atom. The energy above the most stable polymorph in this dataset is 0.0 meV per atom.

abc: 3.6515 3.6515 5.1501
angles: 90.00 90.00 90.00
Last column: nearest neighbours and their distance in Å.
Positions (direct):
Ni 0.5000 0.5000 0.5000  4 P 2.58
Fe 0.0000 0.0000 0.0000  4 O 1.83
O 0.0000 0.5000 0.0000  2 Fe 1.83
O 0.5000 0.0000 0.0000  2 Fe 1.83
P 0.0000 0.0000 0.5000  2 Fe 2.58, 4 Ni 2.58